No. 1
First-principles (PBE) data for crystalline Tl2InSn2 at its relaxed geometry, as listed in Alexandria.

Structure (CIF):
```
data_Tl2InSn2
_chemical_formula_sum 'Tl4 In2 Sn4'
_cell_length_a 7.831
_cell_length_b 7.831
_cell_length_c 5.049
_cell_angle_alpha 90.00
_cell_angle_beta 90.00
_cell_angle_gamma 90.00
_symmetry_space_group_name_H-M 'P 4/m b m'
_symmetry_Int_Tables_number 127
_symmetry_space_group_name_Hall '-P 4 2ab'
loop_
_atom_site_label
_atom_site_fract_x
_atom_site_fract_y
_atom_site_fract_z
Tl1 0.171 0.329 0.000
In1 0.000 0.000 0.500
Sn1 0.134 0.634 0.500
```

Summary:
The formation enthalpy at 0 K is 0.068 eV/atom.

No. 2
First-principles (PBE) data for crystalline Tb12PrTm2 at its relaxed geometry, as listed in Alexandria.

Structure (CIF):
```
data_Tb12PrTm2
_chemical_formula_sum 'Tb48 Pr4 Tm8'
_cell_length_a 7.125
_cell_length_b 11.166
_cell_length_c 24.480
_cell_angle_alpha 90.00
_cell_angle_beta 94.20
_cell_angle_gamma 90.00
_symmetry_space_group_name_H-M 'C 1 2/m 1'
_symmetry_Int_Tables_number 12
loop_
_symmetry_equiv_pos_as_xyz
'x,y,z'
'-x,-y,-z'
'-x,y,-z'
'x,-y,z'
'x+1/2,y+1/2,z'
'-x+1/2,-y+1/2,-z'
'-x+1/2,y+1/2,-z'
'x+1/2,-y+1/2,z'
loop_
_atom_site_label
_atom_site_fract_x
_atom_site_fract_y
_atom_site_fract_z
Tb1 0.018 0.250 0.075
Tb2 0.111 0.242 0.445
Tb3 0.144 0.500 0.586
Tb4 0.155 0.000 0.568
Tb5 0.169 0.238 0.670
Tb6 0.200 0.260 0.797
Tb7 0.214 0.000 0.855
Tb8 0.217 0.500 0.866
Pr1 0.249 0.000 0.996
Tm1 0.059 0.500 0.271
Tm2 0.076 0.000 0.272
```

Summary:
The formation enthalpy at 0 K is 0.110 eV/atom.

No. 3
First-principles (PBE) data for crystalline As2SeF at its relaxed geometry, as listed in Alexandria.

Structure (CIF):
```
data_As2SeF
_chemical_formula_sum 'As8 Se4 F4'
_cell_length_a 6.497
_cell_length_b 6.497
_cell_length_c 6.497
_cell_angle_alpha 90.00
_cell_angle_beta 90.00
_cell_angle_gamma 90.00
_symmetry_space_group_name_H-M 'F m -3 m'
_symmetry_Int_Tables_number 225
_symmetry_space_group_name_Hall '-F 4 2 3'
loop_
_atom_site_label
_atom_site_fract_x
_atom_site_fract_y
_atom_site_fract_z
As1 0.250 0.250 0.250
Se1 0.000 0.000 0.000
F1 0.000 0.000 0.500
```

Summary:
The calculation puts the formation energy (no corrections) at -7 kJ/mol of atoms.

No. 4
First-principles (PBE) data for crystalline LiRuRh at its relaxed geometry, as listed in Alexandria.

Structure (CIF):
```
data_LiRuRh
_chemical_formula_sum 'Li2 Ru2 Rh2'
_cell_length_a 4.563
_cell_length_b 4.618
_cell_length_c 4.909
_cell_angle_alpha 64.84
_cell_angle_beta 66.66
_cell_angle_gamma 61.33
_symmetry_space_group_name_H-M 'P -1'
_symmetry_Int_Tables_number 2
loop_
_symmetry_equiv_pos_as_xyz
'x,y,z'
'-x,-y,-z'
loop_
_atom_site_label
_atom_site_fract_x
_atom_site_fract_y
_atom_site_fract_z
Li1 0.086 0.247 0.242
Ru1 0.408 0.578 0.253
Rh1 0.242 0.091 0.749
```

Summary:
The formation enthalpy at 0 K is 0.027 eV/atom.

Ρ? In order: 8.2, 8.2, 6.0, 8.8 Mg/m³.
DOS at the Fermi energy? In order: 0.65, 1.54, 0.46, 0.85 states/eV per atom.